Cr2HgOs: optimized geometry, PBE.

Unit cell a=5.5179 b=7.4488 c=2.8517 alpha=90.00 beta=90.00 gamma=90.00
Closest atoms and distances in Å follow each position.
Space group Cmmm (No. 65)
Inequivalent atoms, fractional coordinates:
Cr  0.2500  0.2500  0.0000  4 Hg 2.72, 4 Os 2.72, 4 Cr 2.76-2.85
Hg  0.0000  0.0000  0.5000  8 Cr 2.72, 2 Os 2.76, 2 Hg 2.85
Os  0.0000  0.5000  0.5000  8 Cr 2.72, 2 Hg 2.76, 2 Os 2.85

Volume in Å³/atom: 14.65
Energy of formation in eV per atom: 0.617
N(E_F) in states/eV/atom: 1.3391
Crystal system: orthorhombic
Energy in eV/atom: -7.078